The following is a DFT calculation (PBE) of a relaxed PPt2 crystal.

Calculated volume = 14.98 Å³/atom
Density = 15.6 g/cm3
M_tot = 0.0 μB/cell
E_tot = -5.90 eV per atom
ΔE_f = -66 meV per atom

Lattice parameters (Å, degrees): 3.010 3.010 9.920 90.00 90.00 90.00
Space group I4/mmm (No. 139)
Asymmetric unit:
P1 0.000 0.000 0.000 [2 per cell]
Pt1 0.000 0.000 0.353 [4 per cell]



The following is a DFT calculation (PBE) of a relaxed AcZnGa2Pt5 crystal.

Calculated volume = 20.71 Å³/atom
Density = 12.5 g/cm3
M_tot = 0.0 μB/cell
E_tot = -5.22 eV per atom
ΔE_f = -596 meV per atom

Lattice parameters (Å, degrees): 4.158 4.158 10.780 90.00 90.00 90.00
Space group P4/mmm (No. 123)
Asymmetric unit:
Ac1 0.000 0.000 0.000 [1 per cell]
Zn1 0.000 0.000 0.500 [1 per cell]
Ga1 0.500 0.500 0.229 [2 per cell]
Pt1 0.000 0.500 0.356 [4 per cell]
Pt2 0.500 0.500 0.000 [1 per cell]



The following is a DFT calculation (PBE) of a relaxed Zn2CdPt crystal.

Calculated volume = 16.79 Å³/atom
Density = 10.8 g/cm3
M_tot = 0.0 μB/cell
E_tot = -2.60 eV per atom
ΔE_f = -225 meV per atom

Lattice parameters (Å, degrees): 2.914 2.914 7.907 90.00 90.00 90.00
Space group P4/mmm (No. 123)
Asymmetric unit:
Zn1 0.000 0.000 0.217 [2 per cell]
Cd1 0.500 0.500 0.500 [1 per cell]
Pt1 0.500 0.500 0.000 [1 per cell]



Q: What is the calculated volume in the second record?
A: 20.71 Å³/atom



Repeat the first record exactly.
The following is a DFT calculation (PBE) of a relaxed PPt2 crystal.

Calculated volume = 14.98 Å³/atom
Density = 15.6 g/cm3
M_tot = 0.0 μB/cell
E_tot = -5.90 eV per atom
ΔE_f = -66 meV per atom

Lattice parameters (Å, degrees): 3.010 3.010 9.920 90.00 90.00 90.00
Space group I4/mmm (No. 139)
Asymmetric unit:
P1 0.000 0.000 0.000 [2 per cell]
Pt1 0.000 0.000 0.353 [4 per cell]



Copy entry 1 word for word.
The following is a DFT calculation (PBE) of a relaxed PPt2 crystal.

Calculated volume = 14.98 Å³/atom
Density = 15.6 g/cm3
M_tot = 0.0 μB/cell
E_tot = -5.90 eV per atom
ΔE_f = -66 meV per atom

Lattice parameters (Å, degrees): 3.010 3.010 9.920 90.00 90.00 90.00
Space group I4/mmm (No. 139)
Asymmetric unit:
P1 0.000 0.000 0.000 [2 per cell]
Pt1 0.000 0.000 0.353 [4 per cell]



Q: ΔE_f of number 1 (PPt2)?
A: -66 meV per atom